No. 1
This record from the Open Quantum Materials Database describes a relaxed HoMgZn2 crystal. The functional is PBE. Values from VASP.

Cell and atoms, written as Quantum ESPRESSO input:
```
&SYSTEM
  ibrav = 0, nat = 8, ntyp = 3
/
ATOMIC_SPECIES
Ho 164.93 Ho.upf
Mg 24.30 Mg.upf
Zn 65.41 Zn.upf
CELL_PARAMETERS angstrom
-4.334 -2.021 0.428
1.513 -1.907 6.324
-1.766 4.140 1.671
ATOMIC_POSITIONS angstrom
Ho -2.608 0.023 0.631
Mg -1.852 -0.929 3.793
Ho -0.569 2.153 4.415
Zn -2.357 0.664 6.209
Zn 0.693 -0.394 5.161
Mg -1.325 3.105 1.253
Zn -3.113 1.617 3.048
Zn -0.064 0.559 1.999
```

## Properties
For the total energy, the calculation gives -2.50 eV/atom.

=====

No. 2
This record from the Open Quantum Materials Database describes a relaxed HoMgZr crystal. The functional is PBE. Values from VASP.

Cell and atoms, written as Quantum ESPRESSO input:
```
&SYSTEM
  ibrav = 0, nat = 3, ntyp = 3
/
ATOMIC_SPECIES
Zr 91.22 Zr.upf
Mg 24.30 Mg.upf
Ho 164.93 Ho.upf
CELL_PARAMETERS angstrom
0.000 3.506 3.506
3.506 0.000 3.506
3.506 3.506 0.000
ATOMIC_POSITIONS angstrom
Zr 5.259 5.259 5.259
Mg 0.000 0.000 0.000
Ho 1.753 1.753 1.753
```

## Properties
For the total energy, the calculation gives -4.23 eV/atom.

=====

No. 3
This record from the Open Quantum Materials Database describes a relaxed HoMo crystal. The functional is PBE. Values from VASP.

Cell and atoms, written as Quantum ESPRESSO input:
```
&SYSTEM
  ibrav = 0, nat = 2, ntyp = 2
/
ATOMIC_SPECIES
Mo 95.94 Mo.upf
Ho 164.93 Ho.upf
CELL_PARAMETERS angstrom
-2.642 1.634 0.082
-0.082 -3.098 0.223
0.373 0.352 5.012
ATOMIC_POSITIONS angstrom
Mo -0.842 -1.433 1.429
Ho -1.509 0.320 3.888
```

## Properties
For the total energy, the calculation gives -7.02 eV/atom. The calculated formation energy is 1.4 eV per formula unit.